Record 1
Material: TlCuMo2
Method: DFT, PBE-GGA
State: relaxed

Computed properties:
Energy of formation from the pure elements, meV/atom: 478
DOS at the Fermi energy, states/eV per atom: 0.413
Mass density, Mg/m³: 11.20
Energy above the lowest structure with this stoichiometry, meV per atom: 75
Crystal system: monoclinic

Lattice parameters (Å, degrees): 2.8512 4.3039 5.6389 90.00 99.81 90.00
Last column: nearest neighbours and their distance in Å.
Space group Pm (No. 6)
Inequivalent atoms, fractional coordinates:
Tl 0.0000 0.0000 0.0000  2 Cu 2.63, 2 Tl 2.85, 1 Mo 2.91
Cu 0.0205 0.5000 0.2705  5 Mo 2.58-2.88, 2 Tl 2.63, 2 Cu 2.85
Mo 0.4208 0.5000 0.7159  1 Cu 2.58, 4 Mo 2.61-2.85
Mo 0.6159 0.0000 0.4886  4 Mo 2.61-2.85, 4 Cu 2.82-2.88, 1 Tl 2.91

---

Record 2
Material: TlCu4Mo
Method: DFT, PBE-GGA
State: relaxed

Computed properties:
Energy of formation from the pure elements, meV/atom: 399
DOS at the Fermi energy, states/eV per atom: 0.312
Mass density, Mg/m³: 10.53
Crystal system: cubic

Lattice parameters (Å, degrees): 7.0464 7.0464 7.0464 90.00 90.00 90.00
Last column: nearest neighbours and their distance in Å.
Space group F-43m (No. 216)
Inequivalent atoms, fractional coordinates:
Tl 0.0000 0.0000 0.0000  12 Cu 2.92, 4 Mo 3.05
Cu 0.1242 0.1242 0.6242  6 Cu 2.47-2.51
Mo 0.2500 0.2500 0.2500  12 Cu 2.92, 4 Tl 3.05

---

Record 3
Material: TlCuMo2
Method: DFT, PBE-GGA
State: relaxed

Computed properties:
Energy of formation from the pure elements, meV/atom: 814
DOS at the Fermi energy, states/eV per atom: 1.263
Mass density, Mg/m³: 11.53
Energy above the lowest structure with this stoichiometry, meV per atom: 411
Crystal system: cubic

Lattice parameters (Å, degrees): 6.4225 6.4225 6.4225 90.00 90.00 90.00
Last column: nearest neighbours and their distance in Å.
Space group Fm-3m (No. 225)
Inequivalent atoms, fractional coordinates:
Tl 0.0000 0.0000 0.0000  8 Mo 2.78
Cu 0.0000 0.0000 0.5000  8 Mo 2.78
Mo 0.2500 0.2500 0.2500  4 Tl 2.78, 4 Cu 2.78

---

Record 4
Material: Tl2CuMo
Method: DFT, PBE-GGA
State: relaxed

Computed properties:
Energy of formation from the pure elements, meV/atom: 704
DOS at the Fermi energy, states/eV per atom: 0.596
Mass density, Mg/m³: 11.88
Energy above the lowest structure with this stoichiometry, meV per atom: 160
Crystal system: monoclinic

Lattice parameters (Å, degrees): 6.2872 9.4156 2.9965 90.00 116.42 90.00
Last column: nearest neighbours and their distance in Å.
Space group C2/m (No. 12)
Inequivalent atoms, fractional coordinates:
Tl 0.2500 0.2500 0.0000  2 Cu 2.86, 2 Mo 2.86, 4 Tl 3.00-3.14
Cu 0.0000 0.0000 0.5000  4 Tl 2.86, 2 Cu 3.00, 2 Mo 3.14
Mo 0.0000 0.5000 0.5000  4 Tl 2.86, 2 Mo 3.00, 2 Cu 3.14

---

Record 5
Material: Tl2CuMo
Method: DFT, PBE-GGA
State: relaxed

Computed properties:
Energy of formation from the pure elements, meV/atom: 983
DOS at the Fermi energy, states/eV per atom: 0.814
Mass density, Mg/m³: 10.97
Energy above the lowest structure with this stoichiometry, meV per atom: 440
Crystal system: tetragonal

Lattice parameters (Å, degrees): 4.2330 4.2330 19.1995 90.00 90.00 90.00
Last column: nearest neighbours and their distance in Å.
Space group I-42d (No. 122)
Inequivalent atoms, fractional coordinates:
Tl 0.2490 0.2500 0.1250  2 Mo 2.83, 2 Cu 2.83, 4 Tl 2.99-3.00
Cu 0.0000 0.0000 0.5000  4 Tl 2.83, 4 Mo 2.99
Mo 0.0000 0.0000 0.0000  4 Tl 2.83, 4 Cu 2.99

---

Record 6
Material: TlCuMo2
Method: DFT, PBE-GGA
State: relaxed

Computed properties:
Energy of formation from the pure elements, meV/atom: 580
DOS at the Fermi energy, states/eV per atom: 0.688
Mass density, Mg/m³: 11.11
Energy above the lowest structure with this stoichiometry, meV per atom: 177
Crystal system: tetragonal

Lattice parameters (Å, degrees): 3.3878 3.3878 5.9892 90.00 90.00 90.00
Last column: nearest neighbours and their distance in Å.
Space group P4/mmm (No. 123)
Inequivalent atoms, fractional coordinates:
Tl 0.0000 0.0000 0.0000  2 Cu 2.99, 8 Mo 3.02
Cu 0.0000 0.0000 0.5000  8 Mo 2.66
Mo 0.5000 0.5000 0.3062  1 Mo 2.32

---

Record 7
Material: TlCuMo2
Method: DFT, PBE-GGA
State: relaxed

Computed properties:
Energy of formation from the pure elements, meV/atom: 746
DOS at the Fermi energy, states/eV per atom: 0.844
Mass density, Mg/m³: 11.23
Energy above the lowest structure with this stoichiometry, meV per atom: 343
Crystal system: trigonal

Lattice parameters (Å, degrees): 2.9161 2.9161 27.7039 90.00 90.00 120.00
Last column: nearest neighbours and their distance in Å.
Space group R-3m (No. 166, hexagonal axes)
Inequivalent atoms, fractional coordinates:
Tl 0.0000 0.0000 0.0000  6 Tl 2.92, 6 Mo 3.01
Cu 0.0000 0.0000 0.5000  6 Mo 2.71, 6 Cu 2.92
Mo 0.0000 0.0000 0.2432  3 Cu 2.71, 6 Mo 2.92, 3 Tl 3.01

---

Record 8
Material: TlCuMo2
Method: DFT, PBE-GGA
State: relaxed

Computed properties:
Energy of formation from the pure elements, meV/atom: 818
DOS at the Fermi energy, states/eV per atom: 0.837
Mass density, Mg/m³: 10.57
Energy above the lowest structure with this stoichiometry, meV per atom: 415
Crystal system: tetragonal

Lattice parameters (Å, degrees): 3.7736 3.7736 20.2924 90.00 90.00 90.00
Last column: nearest neighbours and their distance in Å.
Space group I-42d (No. 122)
Inequivalent atoms, fractional coordinates:
Tl 0.0000 0.0000 0.0000  4 Cu 2.67, 4 Mo 2.91
Cu 0.0000 0.0000 0.5000  4 Tl 2.67, 4 Mo 2.83
Mo 0.2188 0.2500 0.6250  2 Mo 2.51

---

Record 9
Material: TlCuMo2
Method: DFT, PBE-GGA
State: relaxed

Computed properties:
Energy of formation from the pure elements, meV/atom: 615
DOS at the Fermi energy, states/eV per atom: 0.566
Mass density, Mg/m³: 11.39
Energy above the lowest structure with this stoichiometry, meV per atom: 212
Crystal system: monoclinic

Lattice parameters (Å, degrees): 5.3643 9.1350 2.7865 90.00 100.93 90.00
Last column: nearest neighbours and their distance in Å.
Space group C2/m (No. 12)
Inequivalent atoms, fractional coordinates:
Tl 0.0000 0.0000 0.0000  2 Cu 2.68, 2 Tl 2.79, 4 Mo 2.87
Cu 0.0000 0.5000 0.0000  2 Tl 2.68, 2 Cu 2.79, 4 Mo 2.87
Mo 0.2500 0.2500 0.5000  4 Mo 2.68-2.79, 2 Tl 2.87, 2 Cu 2.87

---

Record 10
Material: TlCuMo2
Method: DFT, PBE-GGA
State: relaxed

Computed properties:
Energy of formation from the pure elements, meV/atom: 458
DOS at the Fermi energy, states/eV per atom: 0.510
Mass density, Mg/m³: 10.90
Energy above the lowest structure with this stoichiometry, meV per atom: 55
Crystal system: orthorhombic

Lattice parameters (Å, degrees): 3.2754 4.8120 8.8858 90.00 90.00 90.00
Last column: nearest neighbours and their distance in Å.
Space group Cmm2 (No. 35)
Inequivalent atoms, fractional coordinates:
Tl 0.0000 0.0000 0.0000  2 Cu 2.84, 4 Tl 2.91, 2 Mo 3.03
Cu 0.0000 0.5000 0.7388  2 Mo 2.61, 2 Tl 2.84, 4 Cu 2.91
Mo 0.0000 0.0000 0.5096  2 Mo 2.57, 2 Cu 2.61
Mo 0.0000 0.5000 0.2864  2 Mo 2.57

---

Record 11
Material: Tl2CuMo
Method: DFT, PBE-GGA
State: relaxed

Computed properties:
Energy of formation from the pure elements, meV/atom: 833
DOS at the Fermi energy, states/eV per atom: 0.793
Mass density, Mg/m³: 11.82
Energy above the lowest structure with this stoichiometry, meV per atom: 289
Crystal system: cubic

Lattice parameters (Å, degrees): 6.8343 6.8343 6.8343 90.00 90.00 90.00
Last column: nearest neighbours and their distance in Å.
Space group Fm-3m (No. 225)
Inequivalent atoms, fractional coordinates:
Tl 0.2500 0.2500 0.2500  4 Mo 2.96, 4 Cu 2.96
Cu 0.0000 0.0000 0.0000  8 Tl 2.96
Mo 0.0000 0.0000 0.5000  8 Tl 2.96

---

Record 12
Material: Tl2CuMo
Method: DFT, PBE-GGA
State: relaxed

Computed properties:
Energy of formation from the pure elements, meV/atom: 725
DOS at the Fermi energy, states/eV per atom: 0.694
Mass density, Mg/m³: 12.28
Energy above the lowest structure with this stoichiometry, meV per atom: 182
Crystal system: tetragonal

Lattice parameters (Å, degrees): 3.3460 3.3460 6.8660 90.00 90.00 90.00
Last column: nearest neighbours and their distance in Å.
Space group P4/mmm (No. 123)
Inequivalent atoms, fractional coordinates:
Tl 0.0000 0.0000 0.2398  4 Cu 2.88, 4 Mo 2.96
Cu 0.5000 0.5000 0.0000  8 Tl 2.88
Mo 0.5000 0.5000 0.5000  8 Tl 2.96

---

Record 13
Material: Tl2CuMo
Method: DFT, PBE-GGA
State: relaxed

Computed properties:
Energy of formation from the pure elements, meV/atom: 742
DOS at the Fermi energy, states/eV per atom: 0.661
Mass density, Mg/m³: 12.00
Energy above the lowest structure with this stoichiometry, meV per atom: 198
Crystal system: monoclinic

Lattice parameters (Å, degrees): 3.0175 4.4013 5.9517 90.00 96.01 90.00
Last column: nearest neighbours and their distance in Å.
Space group P2/m (No. 10)
Inequivalent atoms, fractional coordinates:
Tl 0.1295 0.0000 0.2508  2 Cu 2.70, 2 Mo 2.94, 3 Tl 3.01-3.02
Cu 0.0000 0.5000 0.5000  4 Tl 2.70, 2 Cu 3.02
Mo 0.5000 0.5000 0.0000  8 Tl 2.94-3.18, 2 Mo 3.02, 2 Cu 3.19

---

Record 14
Material: TlCuMo2
Method: DFT, PBE-GGA
State: relaxed

Computed properties:
Energy of formation from the pure elements, meV/atom: 566
DOS at the Fermi energy, states/eV per atom: 0.697
Mass density, Mg/m³: 11.33
Energy above the lowest structure with this stoichiometry, meV per atom: 163
Crystal system: orthorhombic

Lattice parameters (Å, degrees): 2.8602 4.2378 5.5602 90.00 90.00 90.00
Last column: nearest neighbours and their distance in Å.
Space group Pmmm (No. 47)
Inequivalent atoms, fractional coordinates:
Tl 0.0000 0.0000 0.0000  2 Cu 2.78, 2 Tl 2.86, 8 Mo 3.01
Cu 0.0000 0.0000 0.5000  2 Tl 2.78, 8 Mo 2.82, 2 Cu 2.86
Mo 0.5000 0.5000 0.2853  1 Mo 2.39

---

Record 15
Material: Tl2CuMo
Method: DFT, PBE-GGA
State: relaxed

Computed properties:
Energy of formation from the pure elements, meV/atom: 636
DOS at the Fermi energy, states/eV per atom: 0.622
Mass density, Mg/m³: 11.75
Energy above the lowest structure with this stoichiometry, meV per atom: 93
Crystal system: monoclinic

Lattice parameters (Å, degrees): 3.2105 4.5753 5.6963 90.00 106.37 90.00
Last column: nearest neighbours and their distance in Å.
Space group Pm (No. 6)
Inequivalent atoms, fractional coordinates:
Tl 0.0000 0.0000 0.0000  4 Cu 2.96-2.97, 3 Mo 2.96-2.98, 2 Tl 3.21
Tl 0.3029 0.5000 0.6027  2 Cu 2.81-2.82, 4 Mo 2.90
Cu 0.5926 0.5000 0.1797  2 Mo 2.75, 6 Tl 2.81-2.97
Mo 0.7311 0.0000 0.4588  2 Cu 2.75, 7 Tl 2.90-2.98